DFT (PBE) results for crystalline TeAuBr2 at its relaxed geometry.

Lattice parameters (Å, degrees): 3.396 3.396 8.720 90.00 90.00 90.00
Fractional coordinates of all 4 atoms:
1 Te 0.500 0.500 0.250
2 Au 0.500 0.500 0.750
3 Br 0.000 0.000 0.963
4 Br 0.000 0.000 0.537

Computed properties:
Total DFT energy (no corrections) (eV for the cell shown): -8.1
Space group: P4/mmm (123)

---

DFT (PBE) results for crystalline TeAu2Br6 at its relaxed geometry.

Lattice parameters (Å, degrees): 6.921 10.557 10.557 92.25 96.46 96.46
Fractional coordinates of all 18 atoms:
1 Te 0.250 0.919 0.081
2 Te 0.750 0.081 0.919
3 Au 0.204 0.394 0.393
4 Au 0.296 0.607 0.606
5 Au 0.796 0.606 0.607
6 Au 0.704 0.393 0.394
7 Br 0.451 0.271 0.500
8 Br 0.049 0.500 0.729
9 Br 0.549 0.729 0.500
10 Br 0.951 0.500 0.271
11 Br 0.867 0.088 0.698
12 Br 0.633 0.302 0.912
13 Br 0.133 0.912 0.302
14 Br 0.367 0.698 0.088
15 Br 0.107 0.179 0.048
16 Br 0.393 0.952 0.821
17 Br 0.893 0.821 0.952
18 Br 0.607 0.048 0.179

Computed properties:
Total DFT energy (no corrections) (eV for the cell shown): -43.7
Offset from the most stable computed form (eV per atom): 0.000
Space group: C2/c (15)

---

DFT (PBE) results for crystalline Te2AuBr at its relaxed geometry.

Lattice parameters (Å, degrees): 7.830 7.830 6.432 52.50 52.50 90.00
Fractional coordinates of all 8 atoms:
1 Te 0.750 0.250 0.000
2 Te 0.250 0.750 0.000
3 Te 0.250 0.250 0.000
4 Te 0.750 0.750 0.000
5 Au 0.750 0.750 0.500
6 Au 0.250 0.250 0.500
7 Br 0.750 0.250 0.500
8 Br 0.250 0.750 0.500

Computed properties:
Total DFT energy (no corrections) (eV for the cell shown): -19.3
Space group: P4/mmm (123)

---

DFT (PBE) results for crystalline Te2AuBr at its relaxed geometry.

Lattice parameters (Å, degrees): 6.412 6.412 6.412 146.53 132.36 59.48
Fractional coordinates of all 4 atoms:
1 Te 0.037 0.037 0.000
2 Te 0.254 0.754 0.500
3 Au 0.457 0.457 0.000
4 Br 0.753 0.253 0.500

Computed properties:
Total DFT energy (no corrections) (eV for the cell shown): -10.1
Space group: Imm2 (44)

---

DFT (PBE) results for crystalline Te5Au4Br at its relaxed geometry.

Lattice parameters (Å, degrees): 5.542 8.458 12.834 90.00 90.00 90.00
Fractional coordinates of all 20 atoms:
1 Te 0.288 0.757 0.814
2 Te 0.288 0.243 0.814
3 Te 0.825 0.500 0.000
4 Te 0.288 0.757 0.186
5 Te 0.288 0.243 0.186
6 Te 0.712 0.743 0.314
7 Te 0.712 0.257 0.314
8 Te 0.175 0.000 0.500
9 Te 0.712 0.257 0.686
10 Te 0.712 0.743 0.686
11 Au 0.016 0.000 0.721
12 Au 0.518 0.745 0.000
13 Au 0.518 0.255 0.000
14 Au 0.016 0.000 0.279
15 Au 0.984 0.500 0.221
16 Au 0.482 0.755 0.500
17 Au 0.482 0.245 0.500
18 Au 0.984 0.500 0.779
19 Br 0.837 0.000 0.000
20 Br 0.163 0.500 0.500

Computed properties:
Total DFT energy (no corrections) (eV for the cell shown): -61.4
Space group: Pmmn (59)

---

DFT (PBE) results for crystalline Te2AuBr at its relaxed geometry.

Lattice parameters (Å, degrees): 4.276 4.276 5.942 90.00 90.00 90.00
Fractional coordinates of all 4 atoms:
1 Te 0.500 0.500 0.500
2 Te 0.000 0.000 0.000
3 Au 0.500 0.500 0.000
4 Br 0.000 0.000 0.500

Computed properties:
Total DFT energy (no corrections) (eV for the cell shown): -10.4
Space group: P4/mmm (123)

---

DFT (PBE) results for crystalline Te2AuBr at its relaxed geometry.

Lattice parameters (Å, degrees): 3.812 3.812 9.496 90.00 90.00 120.10
Fractional coordinates of all 4 atoms:
1 Te 0.000 0.000 0.036
2 Te 0.500 0.500 0.289
3 Au 0.000 0.000 0.492
4 Br 0.500 0.500 0.683

Computed properties:
Total DFT energy (no corrections) (eV for the cell shown): -10.8
Space group: Cmm2 (35)

---

DFT (PBE) results for crystalline TeAuBr2 at its relaxed geometry.

Lattice parameters (Å, degrees): 6.394 6.394 6.394 144.97 100.87 89.58
Last column: magnetic moment on the atom in μB.
Fractional coordinates of all 4 atoms:
1 Te 0.462 0.462 0.000  0.27
2 Au 0.259 0.759 0.500  0.05
3 Br 0.066 0.066 0.000  0.02
4 Br 0.713 0.213 0.500  0.09

Computed properties:
Total DFT energy (no corrections) (eV for the cell shown): -9.9
Space group: Imm2 (44)

---

DFT (PBE) results for crystalline TeAuBr2 at its relaxed geometry.

Lattice parameters (Å, degrees): 5.667 5.668 3.890 90.09 90.09 107.22
Fractional coordinates of all 4 atoms:
1 Te 0.535 0.465 0.000
2 Au 0.738 0.262 0.500
3 Br 0.940 0.060 0.000
4 Br 0.286 0.714 0.500

Computed properties:
Total DFT energy (no corrections) (eV for the cell shown): -10.0
Space group: C2 (5)

---

DFT (PBE) results for crystalline TeAu2Br8 at its relaxed geometry.

Lattice parameters (Å, degrees): 7.395 7.685 7.685 71.00 80.58 80.58
Fractional coordinates of all 11 atoms:
1 Te 0.000 0.000 0.000
2 Au 0.242 0.242 0.242
3 Au 0.758 0.758 0.758
4 Br 0.787 0.103 0.705
5 Br 0.213 0.295 0.897
6 Br 0.738 0.182 0.182
7 Br 0.262 0.818 0.818
8 Br 0.787 0.705 0.103
9 Br 0.213 0.897 0.295
10 Br 0.274 0.429 0.429
11 Br 0.726 0.571 0.571

Computed properties:
Total DFT energy (no corrections) (eV for the cell shown): -24.0
Space group: C2/m (12)

---

DFT (PBE) results for crystalline Te2AuBr at its relaxed geometry.

Lattice parameters (Å, degrees): 4.144 4.144 8.644 90.00 90.00 120.00
Fractional coordinates of all 4 atoms:
1 Te 0.333 0.667 0.846
2 Te 0.667 0.333 0.185
3 Au 0.000 0.000 0.012
4 Br 0.333 0.667 0.412

Computed properties:
Total DFT energy (no corrections) (eV for the cell shown): -11.6
Space group: P3m1 (156)

---

DFT (PBE) results for crystalline Te2Au2Br at its relaxed geometry.

Lattice parameters (Å, degrees): 8.296 8.296 3.649 90.00 90.00 90.00
Fractional coordinates of all 10 atoms:
1 Te 0.305 0.805 0.000
2 Te 0.805 0.695 0.000
3 Te 0.695 0.195 0.000
4 Te 0.195 0.305 0.000
5 Au 0.118 0.618 0.500
6 Au 0.618 0.882 0.500
7 Au 0.882 0.382 0.500
8 Au 0.382 0.118 0.500
9 Br 0.000 0.000 0.000
10 Br 0.500 0.500 0.000

Computed properties:
Total DFT energy (no corrections) (eV for the cell shown): -27.4
Offset from the most stable computed form (eV per atom): 0.124
Space group: P4/mbm (127)

---

Look up the total DFT energy (no corrections) of the tenth one. -24.0 eV for the cell shown

---

Which value of total DFT energy (no corrections) does entry 1 give? -8.1 eV for the cell shown

---

Look up the total DFT energy (no corrections) of the eighth one. -9.9 eV for the cell shown

---

Number 2 is which compound? TeAu2Br6